Record 1
Below is a geometry-optimized NaU2Cl11 structure, with properties calculated at the PBE level.

Values from the calculation:
For the magnetization, the calculation gives 2.00 μB per formula unit. For the formation energy (no corrections), the calculation gives -23.007 eV/f.u.

Cell lengths 10.745, 15.139, 14.110 Å; angles 90.00, 90.00, 90.00 degrees
Space group Ibam (No. 72)
Inequivalent atoms, fractional coordinates:
Na1 0.000 0.000 0.250
U1 0.227 0.421 0.000
Cl1 0.000 0.500 0.000
Cl2 0.066 0.151 0.500
Cl3 0.152 0.321 0.127
Cl4 0.201 0.032 0.125

Record 2
Below is a geometry-optimized Li3TbAu2 structure, with properties calculated at the PBE level.

Values from the calculation:
The energy of formation is -0.526 eV/atom. For the magnetization, the calculation gives 0.00 μB per formula unit.

Cell lengths 14.405, 4.069, 9.178 Å; angles 90.00, 123.92, 90.00 degrees
Space group C2/m (No. 12)
Inequivalent atoms, fractional coordinates:
Li1 0.067 0.000 0.411
Li2 0.073 0.500 0.686
Li3 0.231 0.500 0.579
Tb1 0.125 0.000 0.003
Au1 0.075 0.500 0.211
Au2 0.203 0.000 0.757

Record 3
Below is a geometry-optimized LaEr structure, with properties calculated at the PBE level.

Values from the calculation:
The energy of formation is 0.071 eV/atom. For the magnetization, the calculation gives 0.00 μB per formula unit. For the relative energy among the computed polymorphs, the calculation gives 0.10 eV/f.u.

Cell lengths 4.089, 4.089, 4.089 Å; angles 90.00, 90.00, 90.00 degrees
Space group Pm-3m (No. 221)
Inequivalent atoms, fractional coordinates:
La1 0.000 0.000 0.000
Er1 0.500 0.500 0.500

Record 4
Below is a geometry-optimized Ta2AlPt structure, with properties calculated at the PBE level.

Values from the calculation:
The energy of formation is -0.396 eV/atom. For the magnetization, the calculation gives 0.00 μB per formula unit.

Cell lengths 2.981, 3.719, 6.062 Å; angles 90.00, 90.00, 90.00 degrees
Space group Pmm2 (No. 25)
Inequivalent atoms, fractional coordinates:
Ta1 0.000 0.000 0.000
Ta2 0.500 0.500 0.253
Al1 0.000 0.000 0.509
Pt1 0.500 0.500 0.730

Record 5
Below is a geometry-optimized Sr2ReW structure, with properties calculated at the PBE level.

Values from the calculation:
The energy of formation is 1.319 eV/atom. For the magnetization, the calculation gives 0.00 μB per formula unit. For the relative energy among the computed polymorphs, the calculation gives 3.18 eV/f.u.

Cell lengths 7.126, 7.126, 7.126 Å; angles 90.00, 90.00, 90.00 degrees
Space group F-43m (No. 216)
Inequivalent atoms, fractional coordinates:
Sr1 0.000 0.000 0.000
Sr2 0.250 0.250 0.250
Re1 0.000 0.000 0.500
W1 0.250 0.250 0.750

Record 6
Below is a geometry-optimized SiTeAu2 structure, with properties calculated at the PBE level.

Values from the calculation:
For the magnetization, the calculation gives 0.00 μB per formula unit. For the relative energy among the computed polymorphs, the calculation gives 0.92 eV/f.u. For the formation energy (no corrections), the calculation gives 1.144 eV/f.u.

Cell lengths 3.768, 5.652, 7.990 Å; angles 90.00, 90.00, 90.00 degrees
Space group Cmmm (No. 65)
Inequivalent atoms, fractional coordinates:
Si1 0.000 0.000 0.000
Te1 0.000 0.000 0.500
Au1 0.000 0.500 0.210

Record 7
Below is a geometry-optimized Pr5Ho6Th2 structure, with properties calculated at the PBE level.

Values from the calculation:
The energy of formation is 0.109 eV/atom. For the magnetization, the calculation gives 0.00 μB per formula unit.

Cell lengths 11.601, 21.059, 3.603 Å; angles 90.00, 90.00, 90.00 degrees
Space group Pbam (No. 55)
Inequivalent atoms, fractional coordinates:
Pr1 0.000 0.000 0.000
Pr2 0.063 0.295 0.000
Pr3 0.192 0.578 0.000
Ho1 0.062 0.148 0.500
Ho2 0.081 0.438 0.500
Ho3 0.187 0.877 0.000
Th1 0.190 0.736 0.500

Record 8
Below is a geometry-optimized MoRu2 structure, with properties calculated at the PBE level.

Values from the calculation:
The energy of formation is 0.042 eV/atom. For the magnetization, the calculation gives 0.00 μB per formula unit.

Cell lengths 3.848, 11.758, 3.866 Å; angles 90.00, 90.00, 90.00 degrees
Space group Cmcm (No. 63)
Inequivalent atoms, fractional coordinates:
Mo1 0.000 0.088 0.250
Ru1 0.000 0.249 0.750
Ru2 0.000 0.415 0.250

Record 9
Below is a geometry-optimized MnNbRh structure, with properties calculated at the PBE level.

Values from the calculation:
The energy of formation is -0.193 eV/atom. For the magnetization, the calculation gives 0.00 μB per formula unit.

Cell lengths 8.729, 4.758, 5.152 Å; angles 90.00, 125.30, 90.00 degrees
Space group Cm (No. 8)
Inequivalent atoms, fractional coordinates:
Mn1 0.000 0.234 0.000
Nb1 0.128 0.000 0.584
Nb2 0.372 0.000 0.318
Rh1 0.212 0.500 0.906
Rh2 0.271 0.500 0.464

Record 10
Below is a geometry-optimized TlGe2Se2 structure, with properties calculated at the PBE level.

Values from the calculation:
For the magnetization, the calculation gives 0.00 μB per formula unit. For the relative energy among the computed polymorphs, the calculation gives 0.00 eV/f.u. For the formation energy (no corrections), the calculation gives -0.583 eV/f.u.

Cell lengths 5.210, 5.210, 9.600 Å; angles 90.00, 90.00, 90.00 degrees
Space group I4/mmm (No. 139)
Inequivalent atoms, fractional coordinates:
Tl1 0.000 0.000 0.000
Ge1 0.000 0.000 0.349
Se1 0.000 0.500 0.250

Record 11
Below is a geometry-optimized AcTcGe2Ru structure, with properties calculated at the PBE level.

Values from the calculation:
The energy of formation is -0.513 eV/atom. For the magnetization, the calculation gives 0.00 μB per formula unit.

Cell lengths 4.426, 4.426, 10.358 Å; angles 90.00, 90.00, 90.00 degrees
Space group I-4m2 (No. 119)
Inequivalent atoms, fractional coordinates:
Ac1 0.000 0.000 0.000
Tc1 0.000 0.500 0.250
Ge1 0.000 0.000 0.359
Ru1 0.000 0.500 0.750

Record 12
Below is a geometry-optimized Sm4CoPI2 structure, with properties calculated at the PBE level.

Values from the calculation:
For the magnetization, the calculation gives 0.00 μB per formula unit. For the formation energy (no corrections), the calculation gives -7.429 eV/f.u.

Cell lengths 7.440, 4.024, 8.079 Å; angles 90.00, 106.36, 90.00 degrees
Space group P2/m (No. 10)
Inequivalent atoms, fractional coordinates:
Sm1 0.208 0.000 0.180
Sm2 0.259 0.500 0.813
Co1 0.000 0.500 0.000
P1 0.500 0.000 0.000
I1 0.000 0.000 0.500
I2 0.500 0.500 0.500

Record 13
Below is a geometry-optimized Er2HgI2 structure, with properties calculated at the PBE level.

Values from the calculation:
For the magnetization, the calculation gives 0.00 μB per formula unit. For the formation energy (no corrections), the calculation gives -4.544 eV/f.u.

Cell lengths 4.0939, 4.0939, 35.9550 Å; angles 90.00, 90.00, 120.00 degrees
Space group R-3m (No. 166, hexagonal axes)
Inequivalent atoms, fractional coordinates:
Er1 0.0000 0.0000 0.1145
Hg1 0.0000 0.0000 0.5000
I1 0.0000 0.0000 0.2755

Record 14
Below is a geometry-optimized RuI structure, with properties calculated at the PBE level.

Values from the calculation:
For the magnetization, the calculation gives 0.00 μB per formula unit. For the relative energy among the computed polymorphs, the calculation gives 0.93 eV/f.u. For the formation energy (no corrections), the calculation gives 1.393 eV/f.u.

Cell lengths 7.644, 7.644, 3.650 Å; angles 90.00, 90.00, 90.00 degrees
Space group P4_2/mnm (No. 136)
Inequivalent atoms, fractional coordinates:
Ru1 0.126 0.126 0.000
I1 0.206 0.794 0.000

Record 15
Below is a geometry-optimized NaZr2Te structure, with properties calculated at the PBE level.

Values from the calculation:
For the magnetization, the calculation gives 0.00 μB per formula unit. For the formation energy (no corrections), the calculation gives 0.774 eV/f.u.

Cell lengths 8.281, 8.281, 5.966 Å; angles 90.00, 90.00, 90.00 degrees
Space group I-42d (No. 122)
Inequivalent atoms, fractional coordinates:
Na1 0.000 0.000 0.000
Zr1 0.219 0.250 0.625
Te1 0.000 0.000 0.500

Record 16
Below is a geometry-optimized OsPtS2Cl structure, with properties calculated at the PBE level.

Values from the calculation:
For the magnetization, the calculation gives 0.00 μB per formula unit. For the relative energy among the computed polymorphs, the calculation gives 0.00 eV/f.u. For the formation energy (no corrections), the calculation gives 4.591 eV/f.u.

Cell lengths 4.519, 4.519, 4.890 Å; angles 90.00, 90.00, 90.00 degrees
Space group P4/mmm (No. 123)
Inequivalent atoms, fractional coordinates:
Os1 0.000 0.000 0.000
Pt1 0.500 0.500 0.500
S1 0.000 0.500 0.000
Cl1 0.000 0.000 0.500

Record 17
Below is a geometry-optimized Hf12Tl3Pb structure, with properties calculated at the PBE level.

Values from the calculation:
The energy of formation is 0.011 eV/atom. For the magnetization, the calculation gives 0.00 μB per formula unit.

Cell lengths 4.456, 4.456, 17.736 Å; angles 90.00, 90.00, 90.00 degrees
Space group P4/mmm (No. 123)
Inequivalent atoms, fractional coordinates:
Hf1 0.000 0.000 0.000
Hf2 0.000 0.000 0.249
Hf3 0.000 0.000 0.500
Hf4 0.000 0.500 0.125
Hf5 0.000 0.500 0.374
Tl1 0.500 0.500 0.000
Tl2 0.500 0.500 0.250
Pb1 0.500 0.500 0.500

Record 18
Below is a geometry-optimized HfAlSe2N structure, with properties calculated at the PBE level.

Values from the calculation:
For the magnetization, the calculation gives 0.94 μB per formula unit. For the relative energy among the computed polymorphs, the calculation gives 0.00 eV/f.u. For the formation energy (no corrections), the calculation gives -0.587 eV/f.u.

Cell lengths 5.287, 5.287, 4.053 Å; angles 90.00, 90.00, 90.00 degrees
Space group P4/mmm (No. 123)
Inequivalent atoms, fractional coordinates:
Hf1 0.000 0.000 0.000
Al1 0.500 0.500 0.500
Se1 0.000 0.500 0.000
N1 0.000 0.000 0.500

Record 19
Below is a geometry-optimized Ni2AgIr structure, with properties calculated at the PBE level.

Values from the calculation:
The energy of formation is 0.306 eV/atom. For the magnetization, the calculation gives 2.12 μB per formula unit. For the relative energy among the computed polymorphs, the calculation gives 0.69 eV/f.u.

Cell lengths 3.902, 3.902, 7.125 Å; angles 90.00, 90.00, 90.00 degrees
Space group I4/mmm (No. 139)
Inequivalent atoms, fractional coordinates:
Ni1 0.000 0.500 0.250
Ag1 0.000 0.000 0.000
Ir1 0.000 0.000 0.500

Record 20
Below is a geometry-optimized KDy4ErSe8 structure, with properties calculated at the PBE level.

Values from the calculation:
For the magnetization, the calculation gives 0.00 μB per formula unit. For the formation energy (no corrections), the calculation gives -24.450 eV/f.u.

Cell lengths 8.5812, 8.5812, 20.9250 Å; angles 90.00, 90.00, 120.00 degrees
Space group R3m (No. 160, hexagonal axes)
Inequivalent atoms, fractional coordinates:
K1 0.0000 0.0000 0.0000
Dy1 0.0000 0.0000 0.2489
Dy2 0.1732 0.3463 0.4558
Er1 0.0000 0.0000 0.6290
Se1 0.0000 0.0000 0.3817
Se2 0.0000 0.0000 0.8590
Se3 0.0423 0.5211 0.3785
Se4 0.1773 0.3547 0.2054

Record 21
Below is a geometry-optimized Nd5Dy2Y5 structure, with properties calculated at the PBE level.

Values from the calculation:
The energy of formation is 0.017 eV/atom. For the magnetization, the calculation gives 0.00 μB per formula unit. For the relative energy among the computed polymorphs, the calculation gives 0.00 eV/f.u.

Cell lengths 15.316, 5.111, 11.422 Å; angles 90.00, 116.60, 90.00 degrees
Space group C2/m (No. 12)
Inequivalent atoms, fractional coordinates:
Nd1 0.000 0.000 0.000
Nd2 0.083 0.000 0.750
Nd3 0.167 0.000 0.499
Dy1 0.083 0.500 0.250
Y1 0.000 0.500 0.500
Y2 0.167 0.500 0.001
Y3 0.249 0.000 0.248

Record 22
Below is a geometry-optimized GeSbPt3 structure, with properties calculated at the PBE level.

Values from the calculation:
For the magnetization, the calculation gives 0.00 μB per formula unit. For the relative energy among the computed polymorphs, the calculation gives 2.21 eV/f.u. For the formation energy (no corrections), the calculation gives 3.597 eV/f.u.

Cell lengths 4.950, 4.950, 4.950 Å; angles 90.00, 90.00, 90.00 degrees
Space group Pm-3m (No. 221)
Inequivalent atoms, fractional coordinates:
Ge1 0.000 0.000 0.000
Sb1 0.500 0.500 0.500
Pt1 0.000 0.500 0.500

Record 23
Below is a geometry-optimized Re2IrBr structure, with properties calculated at the PBE level.

Values from the calculation:
For the magnetization, the calculation gives 0.00 μB per formula unit. For the relative energy among the computed polymorphs, the calculation gives 2.95 eV/f.u. For the formation energy (no corrections), the calculation gives 5.057 eV/f.u.

Cell lengths 5.281, 8.914, 2.851 Å; angles 90.00, 107.88, 90.00 degrees
Space group C2/m (No. 12)
Inequivalent atoms, fractional coordinates:
Re1 0.250 0.250 0.000
Ir1 0.000 0.000 0.500
Br1 0.000 0.500 0.500

Record 24
Below is a geometry-optimized TiReO2F structure, with properties calculated at the PBE level.

Values from the calculation:
For the magnetization, the calculation gives 4.41 μB per formula unit. For the formation energy (no corrections), the calculation gives -4.867 eV/f.u.

Cell lengths 3.949, 3.949, 4.007 Å; angles 90.00, 90.00, 90.00 degrees
Space group P4/mmm (No. 123)
Inequivalent atoms, fractional coordinates:
Ti1 0.000 0.000 0.000
Re1 0.500 0.500 0.500
O1 0.000 0.500 0.000
F1 0.000 0.000 0.500